Model a:
Material: KCdPb3
Method: DFT, PBE
State: optimized geometry

The total magnetization is 0.0 Bohr magnetons per cell. As for the crystal system: cubic.

The structure belongs to space group Pm-3m (No. 221); the cell edges are 5.836, 5.836 and 5.836 Å and the angles 90.00°, 90.00° and 90.00°. Symmetry generates all atoms from K at (0.000, 0.000, 0.000), Cd at (0.500, 0.500, 0.500) and Pb at (0.000, 0.500, 0.500).

=====

Model b:
Material: KCdPb3
Method: DFT, PBE
State: optimized geometry

The total magnetization is 0.0 Bohr magnetons per cell. As for the crystal system: monoclinic.

The structure belongs to space group C2 (No. 5); the cell edges are 7.469, 12.618 and 5.024 Å and the angles 90.00°, 132.22° and 90.00°. Symmetry generates all atoms from K at (0.000, 0.000, 0.000), Cd at (0.000, 0.624, 0.000), Pb at (0.000, 0.238, 0.500), Pb at (0.000, 0.391, 0.000) and Pb at (0.000, 0.759, 0.500).

=====

Which of them is least stable? Easy: model a.

=====

Model a:
Material: KCdPb3
Method: DFT, PBE
State: optimized geometry

The total magnetization is 0.0 Bohr magnetons per cell. As for the crystal system: orthorhombic.

The structure belongs to space group Pmn2_1 (No. 31); the cell edges are 6.963, 6.982 and 7.059 Å and the angles 90.00°, 90.00° and 90.00°. Symmetry generates all atoms from K at (0.000, 0.242, 0.000), Cd at (0.000, 0.591, 0.340), Pb at (0.000, 0.884, 0.642) and Pb at (0.248, 0.257, 0.506).

=====

Model b:
Material: KCdPb3
Method: DFT, PBE
State: optimized geometry

The total magnetization is 0.0 Bohr magnetons per cell. As for the crystal system: cubic.

The structure belongs to space group Pm-3m (No. 221); the cell edges are 6.051, 6.051 and 6.051 Å and the angles 90.00°, 90.00° and 90.00°. Symmetry generates all atoms from K at (0.000, 0.000, 0.000), Cd at (0.500, 0.500, 0.500) and Pb at (0.000, 0.000, 0.500).

=====

Which of them is least stable? Easy: model b.

=====

Model a:
Material: KCd2Pb2
Method: DFT, PBE
State: optimized geometry

The total magnetization is 0.0 Bohr magnetons per cell. As for the crystal system: triclinic.

The structure belongs to space group P-1 (No. 2); the cell edges are 6.648, 6.722 and 7.758 Å and the angles 82.50°, 68.53° and 83.08°. Symmetry generates all atoms from K at (0.187, 0.275, 0.342), Cd at (0.342, 0.828, 0.118), Cd at (0.380, 0.721, 0.477), Pb at (0.199, 0.043, 0.798) and Pb at (0.259, 0.523, 0.880).

=====

Model b:
Material: KCd2Pb2
Method: DFT, PBE
State: optimized geometry

The total magnetization is 0.0 Bohr magnetons per cell. As for the crystal system: tetragonal.

The structure belongs to space group I4/mmm (No. 139); the cell edges are 4.948, 4.948 and 13.313 Å and the angles 90.00°, 90.00° and 90.00°. Symmetry generates all atoms from K at (0.000, 0.000, 0.000), Cd at (0.000, 0.000, 0.395) and Pb at (0.000, 0.500, 0.250).

=====

Which of them is least stable? Easy: model a.

=====

Model a:
Material: K3Cd4Pb2
Method: DFT, PBE
State: optimized geometry

The total magnetization is 0.0 Bohr magnetons per cell. As for the crystal system: triclinic.

The structure belongs to space group P-1 (No. 2); the cell edges are 5.161, 6.886 and 10.189 Å and the angles 105.59°, 90.50° and 111.93°. Symmetry generates all atoms from K at (0.000, 0.000, 0.000), K at (0.393, 0.784, 0.634), Cd at (0.093, 0.186, 0.629), Cd at (0.280, 0.556, 0.934) and Pb at (0.282, 0.568, 0.247).

=====

Model b:
Material: K3Cd4Pb2
Method: DFT, PBE
State: optimized geometry

The total magnetization is 0.0 Bohr magnetons per cell. As for the crystal system: monoclinic.

The structure belongs to space group C2/m (No. 12); the cell edges are 12.043, 5.398 and 10.165 Å and the angles 90.00°, 115.17° and 90.00°. Symmetry generates all atoms from K at (0.000, 0.000, 0.000), K at (0.180, 0.500, 0.652), Cd at (0.035, 0.000, 0.376), Cd at (0.201, 0.500, 0.034) and Pb at (0.073, 0.500, 0.246).

=====

Which of them is least stable? Easy: model b.